Entry 1:
# ZrIr2W4

A geometry-optimized ZrIr2W4 structure (PBE-GGA, Alexandria).

Cell lengths 4.710, 4.710, 7.300 Å; angles 71.18, 71.18, 90.00 degrees
Element x y z (fractional)
Ir 0.609 0.609 0.782
Ir 0.391 0.391 0.218
Zr 0.000 0.000 0.000
W 0.792 0.792 0.415
W 0.208 0.208 0.585
W 0.000 0.500 0.000
W 0.500 0.000 0.000

**SG**: I4/mmm
**Energy relative to the elements**: 1980 meV/atom
**DOS at the Fermi energy**: 1.356 states/eV per atom

---

Entry 2:
# La4Pm3Pr5

A geometry-optimized La4Pm3Pr5 structure (PBE-GGA, Alexandria).

Cell lengths 7.393, 11.743, 13.393 Å; angles 151.30, 56.41, 129.18 degrees
Element x y z (fractional)
La 0.917 0.833 0.666
La 0.834 0.667 0.833
La 0.166 0.333 0.167
La 0.083 0.167 0.334
Pm 0.582 0.166 0.333
Pm 0.000 0.000 0.500
Pm 0.418 0.834 0.667
Pr 0.333 0.665 0.833
Pr 0.500 0.000 0.500
Pr 0.751 0.498 0.998
Pr 0.249 0.502 0.002
Pr 0.667 0.335 0.167

**SG**: P-1
**Energy relative to the elements**: 14 meV/atom
**Energy relative to the lowest polymorph listed for this composition**: 0.00 kcal/mol of atoms
**DOS at the Fermi energy**: 1.774 states/eV per atom

---

Entry 3:
# ZrH2SF

A geometry-optimized ZrH2SF structure (PBE-GGA, Alexandria).

Cell lengths 3.334, 3.334, 5.223 Å; angles 90.00, 90.00, 90.00 degrees
Element x y z (fractional)
H 0.000 0.500 0.000
H 0.500 0.000 0.000
S 0.000 0.000 0.000
Zr 0.000 0.000 0.500
F 0.500 0.500 0.500

**SG**: P4/mmm
**Calculated total energy**: -23.9 eV for the cell shown
**DOS at the Fermi energy**: 0.551 states/eV per atom

---

What did the first record say?
# ZrIr2W4

A geometry-optimized ZrIr2W4 structure (PBE-GGA, Alexandria).

Cell lengths 4.710, 4.710, 7.300 Å; angles 71.18, 71.18, 90.00 degrees
Element x y z (fractional)
Ir 0.609 0.609 0.782
Ir 0.391 0.391 0.218
Zr 0.000 0.000 0.000
W 0.792 0.792 0.415
W 0.208 0.208 0.585
W 0.000 0.500 0.000
W 0.500 0.000 0.000

**SG**: I4/mmm
**Energy relative to the elements**: 1980 meV/atom
**DOS at the Fermi energy**: 1.356 states/eV per atom

---

Q: Look up the DOS at the Fermi energy of the first one.
A: 1.356 states/eV per atom

---

Q: DOS at the Fermi energy of number 3 (ZrH2SF)?
A: 0.551 states/eV per atom

---

Q: Which of these has the highest DOS at the Fermi energy?
A: La4Pm3Pr5